This record from Alexandria via LeMat-Bulk describes an optimized crystal structure of TaBe2Pd. The functional is PBE.

Geometry as POSCAR:
```
TaBe2Pd
1.0
6.377 0.000 0.000
0.000 6.377 0.000
3.189 3.189 2.639
Be Pd Ta
4 2 2
Direct
0.598 0.125 0.250
0.152 0.625 0.250
0.375 0.402 0.750
0.875 0.848 0.750
0.500 0.500 0.000
0.250 0.750 0.500
0.000 0.000 0.000
0.750 0.250 0.500
```

Computed properties:
For the total energy, the calculation gives -5.92 eV/atom. Its energy relative to the elements is 0.20 eV/atom. The density of states at the Fermi level comes out at 0.49 states/eV per atom. As for the energy relative to the lowest polymorph listed for this composition: 492 meV/atom.